(1)
The following is a DFT calculation (PBE-GGA) of NaTbAg after structural relaxation.

Computed properties:
**Crystal system**: cubic
**DFT total energy**: -2.78 eV per atom
**M_tot**: 0.001 μB/f.u.

Lattice parameters (Å, degrees): 6.984 6.984 6.984 90.00 90.00 90.00
Space group F-43m (No. 216)
Inequivalent atoms, fractional coordinates:
1 Na 0.000 0.000 0.000 (multiplicity 4)
2 Tb 0.000 0.000 0.500 (multiplicity 4)
3 Ag 0.250 0.250 0.250 (multiplicity 4)

(2)
The following is a DFT calculation (PBE-GGA) of DyBiNO after structural relaxation.

Computed properties:
**Crystal system**: orthorhombic
**DFT total energy**: -6.73 eV per atom
**M_tot**: 0.002 μB/f.u.

Lattice parameters (Å, degrees): 3.815 6.579 6.413 90.00 90.00 90.00
Space group Pmc2_1 (No. 26)
Inequivalent atoms, fractional coordinates:
1 Dy 0.000 0.190 0.000 (multiplicity 2)
2 Bi 0.500 0.325 0.567 (multiplicity 2)
3 N 0.500 0.368 0.927 (multiplicity 2)
4 O 0.000 0.064 0.301 (multiplicity 2)

(3)
The following is a DFT calculation (PBE-GGA) of FeTcSnPd after structural relaxation.

Computed properties:
**Crystal system**: cubic
**DFT total energy**: -6.79 eV per atom
**M_tot**: 3.733 μB/f.u.

Lattice parameters (Å, degrees): 6.308 6.308 6.308 90.00 90.00 90.00
Space group F-43m (No. 216)
Inequivalent atoms, fractional coordinates:
1 Fe 0.000 0.000 0.000 (multiplicity 4)
2 Tc 0.250 0.250 0.250 (multiplicity 4)
3 Sn 0.250 0.250 0.750 (multiplicity 4)
4 Pd 0.000 0.000 0.500 (multiplicity 4)